(1)
DFT (PBE) results for NiHgPIr2 after structural relaxation.

Cell: 4.961 4.961 4.593 Å, 90.00 90.00 90.00°
Atoms (fractional coordinates):
Ni 0.000 0.000 0.000
Hg 0.000 0.000 0.500
P 0.500 0.500 0.000
Ir 0.000 0.500 0.500
Ir 0.500 0.000 0.500

Computed properties:
formation energy from the elements: 2.280 eV per atom
raw total energy: -3.563 eV per atom

---

(2)
DFT (PBE) results for TiNiHg2Ir after structural relaxation.

Cell: 5.113 5.113 4.200 Å, 90.00 90.00 90.00°
Atoms (fractional coordinates):
Ti 0.000 0.000 0.000
Ni 0.000 0.000 0.500
Hg 0.000 0.500 0.000
Hg 0.500 0.000 0.000
Ir 0.500 0.500 0.500

Computed properties:
formation energy from the elements: 1.482 eV per atom
raw total energy: -3.146 eV per atom

---

(3)
DFT (PBE) results for ZnNiHg2Ir after structural relaxation.

Cell: 5.281 5.281 4.563 Å, 90.00 90.00 90.00°
Atoms (fractional coordinates):
Zn 0.000 0.000 0.000
Ni 0.500 0.500 0.000
Hg 0.000 0.500 0.500
Hg 0.500 0.000 0.500
Ir 0.500 0.500 0.500

Computed properties:
formation energy from the elements: 0.793 eV per atom
raw total energy: -2.511 eV per atom

---

(4)
DFT (PBE) results for NpHgIr4 after structural relaxation.

Cell: 5.307 5.307 5.307 Å, 60.00 60.00 60.00°
Atoms (fractional coordinates):
Np 0.000 0.000 0.000
Hg 0.750 0.750 0.750
Ir 0.376 0.376 0.376
Ir 0.376 0.376 0.873
Ir 0.376 0.873 0.376
Ir 0.873 0.376 0.376

Computed properties:
formation energy from the elements: -0.123 eV per atom
raw total energy: -8.238 eV per atom

---

(5)
DFT (PBE) results for NpHgIr after structural relaxation.

Cell: 11.782 11.782 11.782 Å, 162.63 162.63 24.67°
Atoms (fractional coordinates):
Np 0.162 0.162 0.000
Np 0.838 0.838 0.000
Hg 0.437 0.437 0.000
Hg 0.563 0.563 0.000
Ir 0.287 0.287 0.000
Ir 0.713 0.713 0.000

Computed properties:
formation energy from the elements: 0.009 eV per atom
raw total energy: -7.359 eV per atom

---

(6)
DFT (PBE) results for Hg2Ir2O7 after structural relaxation.

Cell: 7.321 7.321 7.321 Å, 60.00 60.00 60.00°
Atoms (fractional coordinates):
Hg 0.000 0.000 0.000
Hg 0.000 0.000 0.500
Hg 0.000 0.500 0.000
Hg 0.500 0.000 0.000
Ir 0.000 0.500 0.500
Ir 0.500 0.000 0.500
Ir 0.500 0.500 0.000
Ir 0.500 0.500 0.500
O 0.125 0.125 0.125
O 0.180 0.180 0.570
O 0.180 0.570 0.180
O 0.180 0.570 0.570
O 0.430 0.430 0.820
O 0.430 0.820 0.430
O 0.430 0.820 0.820
O 0.570 0.180 0.180
O 0.570 0.180 0.570
O 0.570 0.570 0.180
O 0.820 0.430 0.430
O 0.820 0.430 0.820
O 0.820 0.820 0.430
O 0.875 0.875 0.875

Computed properties:
formation energy from raw total energies: -6.43 eV/f.u.
raw total energy: -5.406 eV per atom

---

(7)
DFT (PBE) results for HgIr2O6 after structural relaxation.

Cell: 5.336 5.336 4.860 Å, 90.00 90.00 120.00°
Atoms (fractional coordinates):
Hg 0.000 0.000 0.000
Ir 0.333 0.667 0.500
Ir 0.667 0.333 0.500
O 0.000 0.379 0.716
O 0.000 0.621 0.284
O 0.379 0.000 0.716
O 0.379 0.379 0.284
O 0.621 0.000 0.284
O 0.621 0.621 0.716

Computed properties:
formation energy from raw total energies: -4.96 eV/f.u.
raw total energy: -5.859 eV per atom

---

(8)
DFT (PBE) results for HgIrO2 after structural relaxation.

Cell: 5.662 5.662 5.662 Å, 110.30 110.30 107.82°
Atoms (fractional coordinates):
Hg 0.000 0.000 0.000
Hg 0.750 0.250 0.500
Ir 0.250 0.750 0.500
Ir 0.500 0.500 0.000
O 0.271 0.125 0.646
O 0.375 0.729 0.854
O 0.479 0.625 0.354
O 0.875 0.521 0.146

Computed properties:
formation energy from raw total energies: -0.08 eV/f.u.
raw total energy: -4.791 eV per atom

---

(9)
DFT (PBE) results for HgIr2O2 after structural relaxation.

Cell: 8.544 8.544 2.653 Å, 90.00 90.00 90.00°
Atoms (fractional coordinates):
Hg 0.000 0.000 0.000
Hg 0.500 0.500 0.000
Ir 0.101 0.399 0.000
Ir 0.399 0.899 0.000
Ir 0.601 0.101 0.000
Ir 0.899 0.601 0.000
O 0.218 0.282 0.500
O 0.282 0.782 0.500
O 0.718 0.218 0.500
O 0.782 0.718 0.500

Computed properties:
formation energy from raw total energies: 1.48 eV/f.u.
raw total energy: -5.292 eV per atom
energy above the most stable polymorph in this dataset: 0.00 eV/f.u.

---

(10)
DFT (PBE) results for HgIr2O2 after structural relaxation.

Cell: 5.821 5.821 5.821 Å, 144.27 144.27 51.43°
Atoms (fractional coordinates):
Hg 0.000 0.000 0.000
Ir 0.374 0.374 0.000
Ir 0.626 0.626 0.000
O 0.250 0.750 0.500
O 0.750 0.250 0.500

Computed properties:
formation energy from raw total energies: 1.52 eV/f.u.
raw total energy: -5.283 eV per atom
energy above the most stable polymorph in this dataset: 0.04 eV/f.u.

---

(11)
DFT (PBE) results for HgIr2O after structural relaxation.

Cell: 4.401 4.401 4.401 Å, 60.00 60.00 60.00°
Atoms (fractional coordinates):
Hg 0.000 0.000 0.000
Ir 0.250 0.250 0.250
Ir 0.750 0.750 0.750
O 0.500 0.500 0.500

Computed properties:
formation energy from raw total energies: 4.95 eV/f.u.
raw total energy: -4.509 eV per atom
energy above the most stable polymorph in this dataset: 3.13 eV/f.u.

---

(12)
DFT (PBE) results for Hg3IrO6 after structural relaxation.

Cell: 5.425 5.387 11.153 Å, 90.00 115.82 90.00°
Atoms (fractional coordinates):
Hg 0.000 0.000 0.000
Hg 0.000 0.500 0.500
Hg 0.259 0.051 0.742
Hg 0.259 0.449 0.242
Hg 0.741 0.551 0.758
Hg 0.741 0.949 0.258
Ir 0.500 0.000 0.500
Ir 0.500 0.500 0.000
O 0.174 0.127 0.356
O 0.174 0.373 0.856
O 0.299 0.720 0.071
O 0.299 0.780 0.571
O 0.459 0.246 0.614
O 0.459 0.254 0.114
O 0.541 0.746 0.886
O 0.541 0.754 0.386
O 0.701 0.220 0.429
O 0.701 0.280 0.929
O 0.826 0.627 0.144
O 0.826 0.873 0.644

Computed properties:
formation energy from raw total energies: -3.44 eV/f.u.
raw total energy: -4.296 eV per atom